## La2Zn16Rh (PBE)

Data for a relaxed La2Zn16Rh crystal.

Geometry as POSCAR:
```
La2Zn16Rh
1.0
4.557 2.631 4.441
-4.557 2.631 4.441
0.000 -5.262 4.441
La Zn Rh
2 16 1
Direct
0.000 0.000 0.000 La
0.327 0.327 0.327 La
0.010 0.010 0.501 Zn
0.010 0.501 0.010 Zn
0.165 0.655 0.655 Zn
0.313 0.313 0.814 Zn
0.313 0.814 0.313 Zn
0.373 0.658 0.942 Zn
0.373 0.942 0.658 Zn
0.501 0.010 0.010 Zn
0.655 0.165 0.655 Zn
0.655 0.655 0.165 Zn
0.658 0.373 0.942 Zn
0.658 0.942 0.373 Zn
0.759 0.759 0.759 Zn
0.814 0.313 0.313 Zn
0.942 0.373 0.658 Zn
0.942 0.658 0.373 Zn
0.559 0.559 0.559 Rh
```

Results
Energy of formation (eV per atom): -0.296
E_tot (eV per atom): -2.2746